Li5FeO4: relaxed, GGA+U.

abc: 7.301 6.711 7.851
angles: 90.00 90.00 90.00
Last column: magnetic moment on the atom in μB.
Sites, in units of the cell vectors:
Li 0.739 0.479 0.347  0.00
Li 0.761 0.021 0.847  0.00
Li 0.500 0.189 0.018  0.01
Li 0.739 0.521 0.653  0.00
Li 0.682 0.500 0.000  0.01
Li 0.000 0.311 0.518  0.01
Li 0.261 0.521 0.653  0.00
Li 0.500 0.228 0.336  0.00
Li 0.239 0.979 0.153  0.00
Li 0.500 0.811 0.982  0.01
Li 0.761 0.979 0.153  0.00
Li 0.818 0.000 0.500  0.01
Li 0.500 0.772 0.664  0.00
Li 0.261 0.479 0.347  0.00
Li 0.318 0.500 0.000  0.01
Li 0.000 0.689 0.482  0.01
Li 0.000 0.272 0.836  0.00
Li 0.239 0.021 0.847  0.00
Li 0.000 0.728 0.164  0.00
Li 0.182 0.000 0.500  0.01
O 0.500 0.495 0.793  0.15
O 0.706 0.735 0.486  0.16
O 0.794 0.235 0.014  0.16
O 0.206 0.235 0.014  0.16
O 0.000 0.005 0.293  0.15
O 0.206 0.765 0.986  0.16
O 0.000 0.484 0.301  0.14
O 0.500 0.016 0.801  0.14
O 0.000 0.995 0.707  0.15
O 0.000 0.516 0.699  0.14
O 0.794 0.765 0.986  0.16
O 0.294 0.265 0.514  0.16
O 0.500 0.984 0.199  0.14
O 0.500 0.505 0.207  0.15
O 0.706 0.265 0.514  0.16
O 0.294 0.735 0.486  0.16
Fe 0.500 0.249 0.663  4.20
Fe 0.500 0.751 0.337  4.20
Fe 0.000 0.251 0.163  4.20
Fe 0.000 0.749 0.837  4.20

**Energy above the lowest structure with this stoichiometry**: 30 meV per atom
**Total magnetization**: 5.00 μB/f.u.
**Energy**: -5.290 eV per atom


Li9Fe2O8: relaxed, GGA+U.

abc: 6.467 6.468 4.700
angles: 89.50 89.50 89.61
Last column: magnetic moment on the atom in μB.
Sites, in units of the cell vectors:
O 0.012 0.246 0.824  0.08
O 0.754 0.988 0.176  0.08
O 0.257 0.496 0.312  0.08
O 0.499 0.241 0.802  0.06
O 0.230 0.005 0.288  0.08
O 0.995 0.770 0.712  0.08
O 0.504 0.743 0.688  0.08
O 0.759 0.501 0.198  0.06
Li 0.537 0.463 0.500  0.00
Li 0.030 0.970 0.000  0.00
Li 0.042 0.534 0.007  0.00
Li 0.754 0.750 0.438  0.01
Li 0.466 0.958 0.993  0.00
Li 0.733 0.728 0.933  0.02
Li 0.945 0.055 0.500  0.00
Li 0.250 0.246 0.562  0.01
Li 0.272 0.267 0.067  0.02
Fe 0.249 0.751 0.500  4.13
Fe 0.745 0.255 0.000  4.02

**Total magnetization**: 9.00 μB/f.u.
**Energy**: -5.261 eV per atom